The following is a DFT calculation (PBE+U) of an optimized crystal structure of MnTcNi2O6.

a = 5.3951 Å, b = 5.3951 Å, c = 4.5625 Å
α = 90.00°, β = 90.00°, γ = 90.00°
Closest atoms and distances in Å follow each position.
Space group P4mm (No. 99)
Inequivalent atoms, fractional coordinates:
Mn 0.0000 0.0000 0.0000 (multiplicity 1)  1 O 1.89
Tc 0.5000 0.5000 0.0046 (multiplicity 1)  1 O 1.70
Ni 0.0000 0.5000 0.3189 (multiplicity 2)  4 O 2.05
O 0.0000 0.0000 0.5847 (multiplicity 1)  1 Mn 1.89
O 0.2627 0.2627 0.1566 (multiplicity 4)  1 Tc 1.94, 2 Ni 2.05, 1 Mn 2.13
O 0.5000 0.5000 0.6320 (multiplicity 1)  1 Tc 1.70

Calculated values
calculated total energy	-6.192	eV/atom
magnetic moment	9.231	μB per formula unit